## CaV2OsO8 (PBE with a Hubbard U)

Data for a geometry-optimized CaV2OsO8 structure.

Cell lengths 5.801, 5.801, 5.801 Å; angles 107.47, 107.47, 113.54 degrees
Each line ends with the local moment (μB).
Fractional coordinates of all 12 atoms:
O: 0.332 0.541 0.209  -0.01
O: 0.379 0.061 0.318  0.05
O: 0.939 0.257 0.318  0.05
O: 0.939 0.621 0.682  0.05
O: 0.332 0.123 0.791  -0.01
O: 0.877 0.668 0.209  -0.01
O: 0.743 0.061 0.682  0.05
O: 0.459 0.668 0.791  -0.01
V: 0.750 0.250 0.500  0.17
V: 0.500 0.500 0.000  0.38
Ca: 0.000 0.000 0.000  0.00
Os: 0.250 0.750 0.500  1.34

Properties
DOS at the Fermi energy ... 0.31 states/eV/atom
Calculated total energy ... -86.42 eV per cell
Calculated density ... 5.1 g/cm3